## K3Er2MoO6 (PBE with a Hubbard U)

Data for crystalline K3Er2MoO6 at its relaxed geometry.

Geometry as CIF:
```
data_K3Er2MoO6
_symmetry_space_group_name_H-M 'C 1 2/m 1'
_symmetry_Int_Tables_number 12
_cell_length_a 5.8815
_cell_length_b 10.1851
_cell_length_c 6.5083
_cell_angle_alpha 90.00
_cell_angle_beta 107.48
_cell_angle_gamma 90.00
loop_
_symmetry_equiv_pos_as_xyz
'x,y,z'
'-x,-y,-z'
'-x,y,-z'
'x,-y,z'
'x+1/2,y+1/2,z'
'-x+1/2,-y+1/2,-z'
'-x+1/2,y+1/2,-z'
'x+1/2,-y+1/2,z'
loop_
_atom_site_label
_atom_site_type_symbol
_atom_site_fract_x
_atom_site_fract_y
_atom_site_fract_z
K1 K 0.0000 0.0000 0.0000
K2 K 0.0000 0.3364 0.0000
Er1 Er 0.0000 0.1668 0.5000
Mo1 Mo 0.0000 0.5000 0.5000
O1 O 0.2253 0.3361 0.6845
O2 O 0.2333 0.0000 0.6839
```

Output
- M_tot (μB per atom) = 0.250
- ρ (g/cm3) = 5.7
- electronic total energy (eV per atom) = -6.51